1.
Material: Ho2ZrPaN4
Method: DFT, PBE-GGA
State: optimized geometry

Output
Magnetic moment, μB/atom: 0.0000
Final energy, eV/atom: -9.27
Uncorrected formation energy, meV/atom: -1706

a b c (Å): 3.416 5.900 5.911
angles (deg): 109.12 90.00 90.00
Positions (direct):
1 Ho 0.500 0.000 0.500
2 Ho 0.000 0.500 0.500
3 Zr 0.000 0.000 0.000
4 Pa 0.500 0.500 0.000
5 N 0.500 0.246 0.234
6 N 0.500 0.754 0.766
7 N 0.000 0.249 0.760
8 N 0.000 0.751 0.240

=====

2.
Material: Sm3Pb4Au3
Method: DFT, PBE-GGA
State: optimized geometry

Output
ΔH_f (0 K), eV/atom: -0.527
Magnetic moment, μB/atom: 0.0000
Final energy, eV/atom: -4.41

a b c (Å): 8.857 8.857 8.857
angles (deg): 109.47 109.47 109.47
Positions (direct):
1 Sm 0.625 0.750 0.875
2 Sm 0.875 0.250 0.625
3 Sm 0.125 0.375 0.250
4 Sm 0.375 0.125 0.750
5 Sm 0.250 0.875 0.125
6 Sm 0.750 0.625 0.375
7 Pb 0.000 0.000 0.312
8 Pb 0.500 0.312 0.500
9 Pb 0.688 0.188 0.188
10 Pb 0.000 0.000 0.812
11 Pb 0.812 0.500 0.000
12 Pb 0.500 0.812 0.500
13 Pb 0.312 0.500 0.000
14 Pb 0.188 0.688 0.688
15 Au 0.125 0.750 0.375
16 Au 0.375 0.250 0.125
17 Au 0.625 0.875 0.250
18 Au 0.875 0.625 0.750
19 Au 0.250 0.375 0.625
20 Au 0.750 0.125 0.875

=====

3.
Material: Tb6Pr2Sc
Method: DFT, PBE-GGA
State: optimized geometry

Output
ΔH_f (0 K), eV/atom: 0.199
Magnetic moment, μB/atom: 0.0000
Final energy, eV/atom: -4.65

a b c (Å): 3.452 9.936 10.153
angles (deg): 119.30 99.63 90.00
Positions (direct):
1 Tb 0.836 0.019 0.671
2 Tb 0.164 0.348 0.329
3 Tb 0.164 0.981 0.329
4 Tb 0.500 0.298 0.000
5 Tb 0.836 0.652 0.671
6 Tb 0.500 0.702 0.000
7 Pr 0.334 0.333 0.667
8 Pr 0.666 0.667 0.333
9 Sc 0.000 0.000 0.000

=====

4.
Material: ScHgTe2
Method: DFT, PBE-GGA
State: optimized geometry

Output
Magnetic moment, μB/atom: 0.0000
Final energy, eV/atom: -3.90
Uncorrected formation energy, meV/atom: -672

a b c (Å): 4.175 4.175 8.333
angles (deg): 75.49 75.49 60.00
Positions (direct):
1 Sc 0.666 0.666 0.001
2 Hg 0.499 0.499 0.502
3 Te 0.071 0.071 0.788
4 Te 0.264 0.264 0.208

=====

5.
Material: Sr2AcSm
Method: DFT, PBE-GGA
State: optimized geometry

Output
ΔH_f (0 K), eV/atom: 0.285
Magnetic moment, μB/atom: 0.1783
Final energy, eV/atom: -2.76

a b c (Å): 3.866 3.866 14.220
angles (deg): 82.19 82.19 60.00
Positions (direct):
1 Sr 0.086 0.086 0.742
2 Sr 0.914 0.914 0.258
3 Ac 0.500 0.500 0.500
4 Sm 0.000 0.000 0.000

=====

6.
Material: BeS
Method: DFT, PBE-GGA
State: optimized geometry

Output
Magnetic moment, μB/atom: 0.0000
Final energy, eV/atom: -4.94
Uncorrected formation energy, meV/atom: -1015

a b c (Å): 5.919 5.919 3.463
angles (deg): 90.00 90.00 90.00
Positions (direct):
1 Be 0.331 0.669 0.000
2 Be 0.831 0.831 0.500
3 Be 0.169 0.169 0.500
4 Be 0.669 0.331 0.000
5 S 0.309 0.309 0.000
6 S 0.809 0.191 0.500
7 S 0.191 0.809 0.500
8 S 0.691 0.691 0.000

=====

7.
Material: K2AgMo
Method: DFT, PBE-GGA
State: optimized geometry

Output
ΔH_f (0 K), eV/atom: 1.084
Magnetic moment, μB/atom: 0.0940
Final energy, eV/atom: -2.88

a b c (Å): 11.910 11.910 11.910
angles (deg): 14.81 14.81 14.81
Positions (direct):
1 Ag 0.750 0.750 0.750
2 K 0.001 0.001 0.001
3 K 0.499 0.499 0.499
4 Mo 0.250 0.250 0.250

=====

8.
Material: LiAs2Pd2
Method: DFT, PBE-GGA
State: optimized geometry

Output
ΔH_f (0 K), eV/atom: -0.413
Magnetic moment, μB/atom: 0.0000
Final energy, eV/atom: -4.73

a b c (Å): 4.309 4.309 5.889
angles (deg): 68.54 68.54 90.00
Positions (direct):
1 As 0.378 0.378 0.244
2 As 0.622 0.622 0.756
3 Pd 0.750 0.250 0.500
4 Pd 0.250 0.750 0.500
5 Li 0.000 0.000 0.000

=====

9.
Material: CaMnAsBr2
Method: DFT, PBE-GGA
State: optimized geometry

Output
Magnetic moment, μB/atom: 0.8087
Final energy, eV/atom: -3.94
Uncorrected formation energy, meV/atom: -107

a b c (Å): 5.429 5.429 6.006
angles (deg): 90.00 90.00 90.00
Positions (direct):
1 As 0.000 0.000 0.500
2 Mn 0.500 0.500 0.500
3 Ca 0.000 0.000 0.000
4 Br 0.000 0.500 0.000
5 Br 0.500 0.000 0.000

=====

10.
Material: Cs2CrOs
Method: DFT, PBE-GGA
State: optimized geometry

Output
ΔH_f (0 K), eV/atom: 1.358
Magnetic moment, μB/atom: 0.8122
Final energy, eV/atom: -4.28

a b c (Å): 9.961 9.961 9.961
angles (deg): 93.04 93.04 153.38
Positions (direct):
1 Cs 0.625 0.311 0.186
2 Cs 0.125 0.439 0.814
3 Cs 0.689 0.875 0.314
4 Cs 0.561 0.375 0.686
5 Cr 0.500 0.500 0.000
6 Cr 0.750 0.250 0.500
7 Os 0.000 0.000 0.000
8 Os 0.250 0.750 0.500

=====

11.
Material: PaAlZnCu
Method: DFT, PBE-GGA
State: optimized geometry

Output
ΔH_f (0 K), eV/atom: -0.108
Magnetic moment, μB/atom: 0.0004
Final energy, eV/atom: -4.76

a b c (Å): 4.671 4.671 4.671
angles (deg): 60.00 60.00 60.00
Positions (direct):
1 Zn 0.500 0.500 0.500
2 Pa 0.750 0.750 0.750
3 Al 0.250 0.250 0.250
4 Cu 0.000 0.000 0.000

=====

12.
Material: ThAl3Ag
Method: DFT, PBE-GGA
State: optimized geometry

Output
ΔH_f (0 K), eV/atom: -0.341
Magnetic moment, μB/atom: 0.0000
Final energy, eV/atom: -4.64

a b c (Å): 4.379 4.379 6.193
angles (deg): 110.70 110.70 90.00
Positions (direct):
1 Th 0.007 0.007 0.014
2 Al 0.267 0.767 0.534
3 Al 0.767 0.267 0.534
4 Al 0.409 0.409 0.817
5 Ag 0.640 0.640 0.281